Compound: ZrScMo2
Source: Alexandria via LeMat-Bulk
Functional: PBE-GGA
Structure: optimized geometry

Cell: 2.7478 4.7790 5.6842 Å, 90.00 90.00 90.00°
Sites, in units of the cell vectors:
Zr: 0.0000 0.0000 0.0000
Sc: 0.0000 0.0000 0.5000
Mo: 0.5000 0.5000 0.2626
Mo: 0.5000 0.5000 0.7374

Calculated values
- Volume: 74.64 Å³/cell
- ΔE_f: 25.0 kJ/mol of atoms
- Fermi-level density of states: 3.82 states/eV/cell

***

Compound: Zr2ScMo
Source: Alexandria via LeMat-Bulk
Functional: PBE-GGA
Structure: optimized geometry

Cell: 3.4091 5.1895 9.6549 Å, 90.00 90.00 90.00°
Sites, in units of the cell vectors:
Zr: 0.0000 0.0000 0.2192
Zr: 0.0000 0.0000 0.7808
Zr: 0.5000 0.5000 0.2192
Zr: 0.5000 0.5000 0.7808
Sc: 0.0000 0.5000 0.5000
Sc: 0.5000 0.0000 0.5000
Mo: 0.0000 0.5000 0.0000
Mo: 0.5000 0.0000 0.0000

Calculated values
- Volume: 170.81 Å³/cell
- ΔE_f: 8.2 kJ/mol of atoms
- Fermi-level density of states: 11.55 states/eV/cell

***

Compound: ZrScMo2
Source: Alexandria via LeMat-Bulk
Functional: PBE-GGA
Structure: optimized geometry

Cell: 3.3350 4.8161 9.1614 Å, 90.00 90.00 90.00°
Sites, in units of the cell vectors:
Zr: 0.0000 0.0000 0.0000
Zr: 0.5000 0.5000 0.5000
Sc: 0.0000 0.0000 0.5000
Sc: 0.5000 0.5000 0.0000
Mo: 0.0000 0.5000 0.2535
Mo: 0.0000 0.5000 0.7465
Mo: 0.5000 0.0000 0.2465
Mo: 0.5000 0.0000 0.7535

Calculated values
- Volume: 147.15 Å³/cell
- ΔE_f: 16.3 kJ/mol of atoms
- Fermi-level density of states: 9.17 states/eV/cell

***

Compound: Zr2ScMo
Source: Alexandria via LeMat-Bulk
Functional: PBE-GGA
Structure: optimized geometry

Cell: 3.3936 3.3936 7.3242 Å, 90.00 90.00 90.00°
Sites, in units of the cell vectors:
Zr: 0.0000 0.0000 0.0000
Zr: 0.5000 0.5000 0.2684
Sc: 0.5000 0.5000 0.6965
Mo: 0.0000 0.0000 0.4710

Calculated values
- Volume: 84.35 Å³/cell
- ΔE_f: 7.8 kJ/mol of atoms
- Fermi-level density of states: 6.23 states/eV/cell

***

Compound: ZrScMo2
Source: Alexandria via LeMat-Bulk
Functional: PBE-GGA
Structure: optimized geometry

Cell: 2.9700 2.9700 29.6358 Å, 90.00 90.00 120.00°
Sites, in units of the cell vectors:
Zr: 0.0000 0.0000 0.0000
Zr: 0.3333 0.6667 0.6667
Zr: 0.6667 0.3333 0.3333
Sc: 0.0000 0.0000 0.5000
Sc: 0.3333 0.6667 0.1667
Sc: 0.6667 0.3333 0.8333
Mo: 0.0000 0.0000 0.2475
Mo: 0.0000 0.0000 0.7525
Mo: 0.3333 0.6667 0.4191
Mo: 0.3333 0.6667 0.9142
Mo: 0.6667 0.3333 0.0858
Mo: 0.6667 0.3333 0.5809

Calculated values
- Volume: 226.39 Å³/cell
- ΔE_f: 38.2 kJ/mol of atoms
- Fermi-level density of states: 17.38 states/eV/cell

***

Compound: ZrScMo2
Source: Alexandria via LeMat-Bulk
Functional: PBE-GGA
Structure: optimized geometry

Cell: 3.0458 4.5181 5.4443 Å, 90.00 90.00 90.00°
Sites, in units of the cell vectors:
Zr: 0.0000 0.0000 0.0000
Sc: 0.5000 0.5000 0.7317
Mo: 0.0000 0.0000 0.4722
Mo: 0.5000 0.5000 0.2629

Calculated values
- Volume: 74.92 Å³/cell
- ΔE_f: 27.8 kJ/mol of atoms
- Fermi-level density of states: 4.32 states/eV/cell

***

Compound: ZrScMo2
Source: Alexandria via LeMat-Bulk
Functional: PBE-GGA
Structure: optimized geometry

Cell: 3.3083 4.7904 9.6191 Å, 90.00 90.00 90.00°
Sites, in units of the cell vectors:
Zr: 0.0000 0.0000 0.0000
Zr: 0.5000 0.5000 0.5000
Sc: 0.0000 0.5000 0.2278
Sc: 0.5000 0.0000 0.7278
Mo: 0.0000 0.0000 0.4637
Mo: 0.0000 0.5000 0.7632
Mo: 0.5000 0.0000 0.2632
Mo: 0.5000 0.5000 0.9637

Calculated values
- Volume: 152.45 Å³/cell
- ΔE_f: 0.7 kJ/mol of atoms
- Fermi-level density of states: 9.13 states/eV/cell

***

Compound: Zr2ScMo
Source: Alexandria via LeMat-Bulk
Functional: PBE-GGA
Structure: optimized geometry

Cell: 7.6665 7.6665 5.9521 Å, 90.00 90.00 90.00°
Sites, in units of the cell vectors:
Zr: 0.2201 0.2500 0.1250
Zr: 0.2500 0.7201 0.3750
Zr: 0.2500 0.7799 0.8750
Zr: 0.2799 0.2500 0.6250
Zr: 0.7201 0.7500 0.6250
Zr: 0.7500 0.2201 0.8750
Zr: 0.7500 0.2799 0.3750
Zr: 0.7799 0.7500 0.1250
Sc: 0.0000 0.0000 0.5000
Sc: 0.0000 0.5000 0.7500
Sc: 0.5000 0.0000 0.2500
Sc: 0.5000 0.5000 0.0000
Mo: 0.0000 0.0000 0.0000
Mo: 0.0000 0.5000 0.2500
Mo: 0.5000 0.0000 0.7500
Mo: 0.5000 0.5000 0.5000

Calculated values
- Volume: 349.84 Å³/cell
- ΔE_f: 45.6 kJ/mol of atoms
- Fermi-level density of states: 15.80 states/eV/cell

***

Compound: ZrScMo2
Source: Alexandria via LeMat-Bulk
Functional: PBE-GGA
Structure: optimized geometry

Cell: 3.9975 3.9975 4.6786 Å, 90.00 90.00 90.00°
Sites, in units of the cell vectors:
Zr: 0.0000 0.0000 0.0000
Sc: 0.5000 0.5000 0.0000
Mo: 0.0000 0.5000 0.5000
Mo: 0.5000 0.0000 0.5000

Calculated values
- Volume: 74.77 Å³/cell
- ΔE_f: 27.4 kJ/mol of atoms
- Fermi-level density of states: 4.07 states/eV/cell

***

Compound: ZrScMo2
Source: Alexandria via LeMat-Bulk
Functional: PBE-GGA
Structure: optimized geometry

Cell: 4.6982 4.6982 3.3474 Å, 90.00 90.00 90.00°
Sites, in units of the cell vectors:
Zr: 0.0000 0.0000 0.0000
Sc: 0.5000 0.5000 0.0000
Mo: 0.0000 0.5000 0.5000
Mo: 0.5000 0.0000 0.5000

Calculated values
- Volume: 73.89 Å³/cell
- ΔE_f: 20.5 kJ/mol of atoms
- Fermi-level density of states: 7.62 states/eV/cell

***

Compound: Zr2ScMo
Source: Alexandria via LeMat-Bulk
Functional: PBE-GGA
Structure: optimized geometry

Cell: 4.7232 4.7232 7.3619 Å, 90.00 90.00 90.00°
Sites, in units of the cell vectors:
Zr: 0.0000 0.0000 0.0000
Zr: 0.0000 0.5000 0.2500
Zr: 0.5000 0.0000 0.7500
Zr: 0.5000 0.5000 0.5000
Sc: 0.0000 0.0000 0.5000
Sc: 0.5000 0.5000 0.0000
Mo: 0.0000 0.5000 0.7500
Mo: 0.5000 0.0000 0.2500

Calculated values
- Volume: 164.23 Å³/cell
- ΔE_f: 16.8 kJ/mol of atoms
- Fermi-level density of states: 13.79 states/eV/cell

***

Compound: Zr3ScMo
Source: Alexandria via LeMat-Bulk
Functional: PBE-GGA
Structure: optimized geometry

Cell: 5.0737 5.0737 5.0737 Å, 90.00 90.00 90.00°
Sites, in units of the cell vectors:
Zr: 0.0000 0.0000 0.5000
Zr: 0.0000 0.5000 0.0000
Zr: 0.5000 0.0000 0.0000
Sc: 0.5000 0.5000 0.5000
Mo: 0.0000 0.0000 0.0000

Calculated values
- Volume: 130.61 Å³/cell
- ΔE_f: 55.4 kJ/mol of atoms
- Fermi-level density of states: 11.76 states/eV/cell